## MgMnIr (PBE)

Data for a relaxed MgMnIr crystal.

Unit cell a=5.985 b=5.985 c=5.985 alpha=90.00 beta=90.00 gamma=90.00
Space group F-43m (No. 216)
Inequivalent atoms, fractional coordinates:
Mg1 0.000 0.000 0.000 x4
Mn1 0.250 0.250 0.250 x4
Ir1 0.250 0.250 0.750 x4

For the formation energy, the calculation gives 0.549 eV/atom. As for the size of the total moment: 17.7 μB/cell.



## MgInW2 (PBE)

Data for a relaxed MgInW2 crystal.

Unit cell a=3.393 b=4.469 c=9.400 alpha=90.00 beta=90.00 gamma=90.00
Space group Cmmm (No. 65)
Inequivalent atoms, fractional coordinates:
Mg1 0.000 0.000 0.000 x2
In1 0.000 0.000 0.500 x2
W1 0.000 0.500 0.250 x4

For the polymorph energy (0 for the lowest one), the calculation gives 272 meV/atom. For the formation energy, the calculation gives 0.572 eV/atom. As for the size of the total moment: 0.0 μB/cell.



## Pm2Ga2CuRh5 (PBE)

Data for a relaxed Pm2Ga2CuRh5 crystal.

Unit cell a=9.875 b=9.875 c=3.540 alpha=90.00 beta=90.00 gamma=90.00
Space group P4/mbm (No. 127)
Inequivalent atoms, fractional coordinates:
Pm1 0.175 0.325 0.000 x4
Ga1 0.125 0.625 0.000 x4
Cu1 0.000 0.000 0.000 x2
Rh1 0.000 0.500 0.500 x2
Rh2 0.063 0.798 0.500 x8

For the formation energy, the calculation gives -0.566 eV/atom. As for the size of the total moment: 0.0 μB/cell.



## YMg2InAu4 (PBE)

Data for a relaxed YMg2InAu4 crystal.

Unit cell a=4.7081 b=4.7081 c=25.6100 alpha=90.00 beta=90.00 gamma=120.00
Space group R-3m (No. 166, hexagonal axes)
Inequivalent atoms, fractional coordinates:
Y1 0.0000 0.0000 0.0000 x3
Mg1 0.0000 0.0000 0.2458 x6
In1 0.0000 0.0000 0.5000 x3
Au1 0.0000 0.0000 0.1196 x6
Au2 0.0000 0.0000 0.3854 x6

For the formation energy, the calculation gives -0.577 eV/atom. As for the size of the total moment: 0.0 μB/cell.



no.,electronic total energy (eV per atom),Fermi-level density of states (states/eV/atom)
1,-5.9925,0.347
2,-6.9880,0.763
3,-6.2069,0.425
4,-3.7651,0.391